This record from the Alexandria database describes a relaxed structure of Ac2SeF4. The functional is PBE.

Summary:
**SG**: R-3m, No. 166
**Magnetic moment**: 0.00 Bohr magnetons per cell
**E**: -6.485 eV per atom

POSCAR file:
```
Ac2SeF4
1.0
2.1737 1.2550 8.0211
-2.1737 1.2550 8.0211
0.0000 -2.5099 8.0211
Ac Se F
2 1 4
Cartesian
0.0000 0.0000 5.8640
0.0000 0.0000 18.1991
0.0000 0.0000 0.0000
0.0000 0.0000 3.3368
0.0000 0.0000 10.3583
0.0000 0.0000 13.7048
0.0000 0.0000 20.7264
```



This record from the Alexandria database describes a relaxed structure of Y3PdPb2. The functional is PBE.

Summary:
**Formation enthalpy at 0 K**: -0.65 eV per atom
**SG**: Pnma, No. 62
**Magnetic moment**: 0.00 Bohr magnetons per cell
**E**: -5.982 eV per atom

POSCAR file:
```
Y3PdPb2
1.0
12.3052 0.0000 0.0000
0.0000 4.5805 0.0000
0.0000 0.0000 11.6677
Y Pd Pb
12 4 8
Cartesian
0.6535 1.1451 1.5291
1.5431 3.4354 6.4863
2.8921 1.1451 9.3231
3.2605 3.4354 3.4893
4.6095 1.1451 0.6525
5.4991 3.4354 7.3629
6.8061 1.1451 4.3048
7.6957 3.4354 11.0152
9.0447 1.1451 8.1784
9.4132 3.4354 2.3445
10.7621 1.1451 5.1814
11.6517 3.4354 10.1386
1.5144 1.1451 4.3736
4.6382 3.4354 10.2074
7.6670 1.1451 1.4602
10.7908 3.4354 7.2941
0.0241 1.1451 8.0596
2.2514 3.4354 0.0687
3.9012 1.1451 5.9025
6.1285 3.4354 2.2258
6.1767 1.1451 9.4419
8.4040 3.4354 5.7652
10.0538 1.1451 11.5990
12.2811 3.4354 3.6081
```



- magnetic moment of number 2 (Y3PdPb2)?
  0.00 Bohr magnetons per cell



- What is the formula in the second record?
  Y3PdPb2



- The lowest E belongs to which entry?
  Ac2SeF4



- Look up the E of the second one.
  -5.982 eV per atom